This record from the Alexandria database describes crystalline PmSmY6 at its relaxed geometry. The functional is PBE.

abc: 5.8797 5.8797 9.0997
angles: 101.48 101.48 72.75
Last column: nearest neighbours and their distance in Å.
Fractional coordinates of all 8 atoms:
Pm 0.0000 0.0000 0.0000  10 Y 3.42-3.81
Sm 0.5000 0.5000 0.5000  10 Y 3.42-3.75
Y 0.0487 0.5347 0.7026  6 Y 3.35-3.72, 2 Sm 3.42-3.46, 1 Pm 3.43
Y 0.3727 0.3727 0.0761  3 Y 3.06-3.35, 1 Pm 3.42
Y 0.4653 0.9513 0.2974  6 Y 3.35-3.72, 2 Sm 3.42-3.46, 1 Pm 3.43
Y 0.5347 0.0487 0.7026  6 Y 3.35-3.72, 2 Sm 3.42-3.46, 1 Pm 3.43
Y 0.6273 0.6273 0.9239  3 Y 3.06-3.35, 1 Pm 3.42
Y 0.9513 0.4653 0.2974  6 Y 3.35-3.72, 2 Sm 3.42-3.46, 1 Pm 3.43

Space group: No. 12
DFT formation energy (eV per atom): 0.3942
E_tot (eV/atom): -5.638

---

This record from the Alexandria database describes crystalline PmTm3Sc at its relaxed geometry. The functional is PBE.

abc: 7.7600 4.9241 7.7729
angles: 90.00 90.27 90.00
Last column: nearest neighbours and their distance in Å.
Fractional coordinates of all 10 atoms:
Pm 0.2459 0.2500 0.2439  3 Sc 3.41-3.44, 9 Tm 3.45-3.53
Pm 0.7541 0.7500 0.7561  3 Sc 3.41-3.44, 9 Tm 3.45-3.53
Tm 0.1488 0.7500 0.5482  6 Tm 3.45-3.51, 3 Sc 3.45-3.49, 3 Pm 3.47-3.50
Tm 0.3424 0.7500 0.9484  3 Sc 3.42-3.44, 6 Tm 3.45-3.56, 3 Pm 3.45-3.53
Tm 0.4468 0.2500 0.6524  1 Sc 3.46, 8 Tm 3.47-3.52, 3 Pm 3.52-3.53
Tm 0.5532 0.7500 0.3476  1 Sc 3.46, 8 Tm 3.47-3.52, 3 Pm 3.52-3.53
Tm 0.6576 0.2500 0.0516  3 Sc 3.42-3.44, 6 Tm 3.45-3.56, 3 Pm 3.45-3.53
Tm 0.8512 0.2500 0.4518  6 Tm 3.45-3.51, 3 Sc 3.45-3.49, 3 Pm 3.47-3.50
Sc 0.0490 0.2500 0.8502  3 Pm 3.41-3.44, 7 Tm 3.42-3.49, 2 Sc 3.48
Sc 0.9510 0.7500 0.1498  3 Pm 3.41-3.44, 7 Tm 3.42-3.49, 2 Sc 3.48

Space group: No. 11
DFT formation energy (eV per atom): 0.0423
E_tot (eV/atom): -4.857

---

This record from the Alexandria database describes crystalline InBi2Sb at its relaxed geometry. The functional is PBE.

abc: 5.4990 5.4990 5.4990
angles: 60.00 60.00 60.00
Last column: nearest neighbours and their distance in Å.
Fractional coordinates of all 4 atoms:
In 0.0000 0.0000 0.0000  8 Bi 3.37
Bi 0.2500 0.2500 0.2500  4 In 3.37, 4 Sb 3.37
Bi 0.7500 0.7500 0.7500  4 In 3.37, 4 Sb 3.37
Sb 0.5000 0.5000 0.5000  8 Bi 3.37

Space group: No. 225
E_tot (eV/atom): -3.516

---

This record from the Alexandria database describes crystalline Ce2DyHgN at its relaxed geometry. The functional is PBE.

abc: 4.8741 4.8741 4.8648
angles: 90.00 90.00 90.00
Last column: nearest neighbours and their distance in Å.
Fractional coordinates of all 5 atoms:
Ce 0.0000 0.5000 0.0000  2 N 2.44
Ce 0.5000 0.0000 0.0000  2 N 2.44
Dy 0.0000 0.0000 0.5000  2 N 2.43
Hg 0.5000 0.5000 0.5000  8 Ce 3.44, 4 Dy 3.45
N 0.0000 0.0000 0.0000  2 Dy 2.43, 4 Ce 2.44

Space group: No. 123
E_tot (eV/atom): -5.787